Record 1
Computed, not measured: a relaxed structure of AcHf2Tc at the PBE-GGA level of DFT.

```
AcHf2Tc
1.0
-1.2295 3.0410 0.7857
-1.3950 0.2273 -3.0626
-7.0937 -3.6333 2.9614
Hf Ac Tc
2 1 1
Cartesian
-1.2628 -0.6468 0.5272
-5.8309 -2.9865 2.4342
-4.8591 -0.1825 0.3423
-1.3123 1.6342 -1.1384
```

Results
**Energy of formation from the pure elements**: -0.2 eV/f.u.
**Symmetry**: No. 123

Record 2
Computed, not measured: a relaxed structure of AcHfTe at the PBE-GGA level of DFT.

```
AcHfTe
1.0
3.9525 0.0470 0.5202
0.0650 6.1715 -1.0427
0.8829 -4.8363 8.9912
Te Hf Ac
2 2 2
Cartesian
4.0299 -0.3469 7.5881
0.8706 1.7291 0.8806
2.3391 -0.7323 5.1953
2.5614 2.1146 3.2734
0.7993 4.9435 1.1143
4.1012 -3.5613 7.3544
```

Results
**Raw total energy**: -37.1 eV per cell
**Symmetry**: No. 63

Record 3
Computed, not measured: a relaxed structure of Ac2HfTe5 at the PBE-GGA level of DFT.

```
Ac2HfTe5
1.0
-6.6943 -3.2171 3.1534
1.3077 -7.3013 -3.1740
3.6872 1.0231 4.0024
Te Ac Hf
5 2 1
Cartesian
-0.6691 -1.9781 0.4306
2.6325 -4.7551 1.9222
-1.4203 -6.1472 2.1728
-1.1220 -2.8389 4.8912
-3.6892 -9.0538 1.1811
0.9664 -7.2366 0.2623
-3.7569 -4.8257 3.9971
-1.8818 -8.7520 3.2710
```

Results
**Raw total energy**: -43.5 eV per cell
**Symmetry**: No. 8

Record 4
Computed, not measured: a relaxed structure of AcHfTe2 at the PBE-GGA level of DFT.

```
AcHfTe2
1.0
4.0128 0.0000 0.0000
2.0064 3.4752 0.0000
2.0064 1.1584 10.2100
Te Ac Hf
2 1 1
Cartesian
2.0064 1.1584 6.8640
6.0192 3.4752 3.3460
0.0000 0.0000 0.0000
4.0128 2.3168 5.1050
```

Results
**Raw total energy**: -22.8 eV per cell
**Symmetry**: No. 166

Record 5
Computed, not measured: a relaxed structure of Ac2HfTe at the PBE-GGA level of DFT.

```
Ac2HfTe
1.0
-0.4162 -1.7303 3.4535
0.7464 -3.7943 0.3742
10.9202 0.5309 3.7673
Ac Hf Te
2 1 1
Cartesian
3.4386 -4.8424 4.5441
7.8118 -0.1513 3.0509
0.0000 0.0000 0.0000
5.6252 -2.4968 3.7975
```

Results
**Raw total energy**: -20.6 eV per cell
**Symmetry**: No. 166

Record 6
Computed, not measured: a relaxed structure of Ac2Hf2Te7 at the PBE-GGA level of DFT.

```
Ac2Hf2Te7
1.0
7.8079 0.1087 0.1568
-0.7334 8.4377 -0.3168
-0.7334 -3.2597 7.7891
Te Ac Hf
7 2 2
Cartesian
0.9675 2.0077 7.2477
5.3737 3.2789 0.3814
5.3737 -0.7943 3.2040
1.1368 2.2395 3.2317
0.9675 6.0810 4.4250
5.2044 3.0472 4.3973
0.0000 0.0000 0.0000
3.1706 4.7955 2.3231
3.1706 0.4911 5.3059
6.5376 1.4876 2.1467
-0.1965 3.7991 5.4824
```

Results
**Raw total energy**: -60.7 eV per cell
**Symmetry**: No. 12

Record 7
Computed, not measured: a relaxed structure of AcHfTe2 at the PBE-GGA level of DFT.

```
AcHfTe2
1.0
3.7442 0.0000 0.0000
0.0000 3.7442 0.0000
0.0000 0.0000 7.8269
Ac Te Hf
1 2 1
Cartesian
1.8721 1.8721 3.9134
0.0000 0.0000 6.1475
0.0000 0.0000 1.6794
1.8721 1.8721 0.0000
```

Results
**Raw total energy**: -23.5 eV per cell
**Symmetry**: No. 123

Record 8
Computed, not measured: a relaxed structure of Ac3HfTl3Te8 at the PBE-GGA level of DFT.

```
Ac3HfTl3Te8
1.0
-0.6177 -7.8360 -5.0519
8.1632 2.4681 3.8148
-7.1379 -3.2717 5.9474
Te Tl Ac Hf
8 3 3 1
Cartesian
2.5516 -5.9371 4.0963
2.0484 -5.6849 -0.0735
2.1083 -1.6190 2.2535
-2.4871 -7.0563 -2.1928
-1.6408 -2.9547 4.7838
2.8948 -1.5833 6.9032
-2.1440 -2.7025 0.6140
-1.7007 -7.0206 2.4568
4.0816 1.2341 1.9074
3.7728 -2.6839 -0.6185
0.0000 0.0000 0.0000
0.5127 -0.4018 4.8811
-3.8778 -5.5539 0.4478
0.2038 -4.3198 2.3552
-3.5690 -1.6358 2.9737
```

Results
**Raw total energy**: -70.3 eV per cell
**Symmetry**: No. 166